{"formula": "Nd2CrCdO6", "functional": "GGA+U", "state": "optimized geometry", "lattice": [[-4.340, 1.888, -1.848], [0.280, -3.444, -4.175], [-2.804, -3.668, 2.838]], "species": ["O", "Cd", "O", "O", "Nd", "O", "O", "Cr", "O", "Nd"], "fractional_positions": [[0.242, 0.000, 0.000], [0.547, 0.500, 0.500], [0.732, 0.767, 0.767], [0.129, 0.500, 0.500], [0.000, 0.500, 0.000], [0.732, 0.233, 0.233], [0.732, 0.767, 0.233], [0.600, 0.000, 0.000], [0.732, 0.233, 0.767], [0.000, 0.000, 0.500]], "final_energy_ev_per_atom": -6.977}